No. 1
VASP calculation (PBE) on a geometry-optimized MgBe2Si structure.

Values from the calculation:
For the volume, the calculation gives 13.39 Å³/atom. The calculation puts the relative energy among the computed polymorphs at 62 meV/atom. Its formation energy (no corrections) is 111 meV/atom. The total energy is -14.03 eV per formula unit.

a b c (Å): 4.258 5.317 5.716
angles (deg): 63.19 85.65 68.82
Space group P-1 (No. 2)
One atom of each set of equivalent atoms:
Mg  0.194  0.150  0.301 (multiplicity 2)
Be  0.121  0.148  0.827 (multiplicity 2)
Be  0.247  0.507  0.506 (multiplicity 2)
Si  0.449  0.661  0.107 (multiplicity 2)

***

No. 2
VASP calculation (PBE) on a geometry-optimized MgBe2Si structure.

Values from the calculation:
For the volume, the calculation gives 12.68 Å³/atom. The calculation puts the relative energy among the computed polymorphs at 284 meV/atom. Its formation energy (no corrections) is 333 meV/atom. The total energy is -13.14 eV per formula unit.

a b c (Å): 3.747 3.747 3.612
angles (deg): 90.00 90.00 90.00
Space group P4/mmm (No. 123)
One atom of each set of equivalent atoms:
Mg  0.000  0.000  0.000 (multiplicity 1)
Be  0.000  0.500  0.500 (multiplicity 2)
Si  0.500  0.500  0.000 (multiplicity 1)

***

No. 3
VASP calculation (PBE) on a geometry-optimized MgBe2Si structure.

Values from the calculation:
For the volume, the calculation gives 13.91 Å³/atom. The calculation puts the relative energy among the computed polymorphs at 255 meV/atom. Its formation energy (no corrections) is 304 meV/atom. The total energy is -13.26 eV per formula unit.

a b c (Å): 3.579 3.586 8.672
angles (deg): 90.00 90.00 90.00
Space group Imm2 (No. 44)
One atom of each set of equivalent atoms:
Mg  0.000  0.000  0.000 (multiplicity 2)
Be  0.000  0.000  0.391 (multiplicity 2)
Be  0.000  0.500  0.257 (multiplicity 2)
Si  0.000  0.500  0.745 (multiplicity 2)

***

No. 4
VASP calculation (PBE) on a geometry-optimized Mg2BeSi structure.

Values from the calculation:
For the volume, the calculation gives 17.01 Å³/atom. The calculation puts the relative energy among the computed polymorphs at 326 meV/atom. Its formation energy (no corrections) is 346 meV/atom. The total energy is -10.96 eV per formula unit.

a b c (Å): 8.654 3.133 5.129
angles (deg): 90.00 101.95 90.00
Space group C2/m (No. 12)
One atom of each set of equivalent atoms:
Mg  0.247  0.000  0.239 (multiplicity 4)
Be  0.000  0.500  0.000 (multiplicity 2)
Si  0.000  0.000  0.500 (multiplicity 2)